A PBEsol-optimized structure of BaBr2, computed with SCAN.

As for the total magnetization: 0.0 μB per formula unit. The calculation puts the theoretical density at 4.91 g/cm3. As for the uncorrected formation energy: -231.97 kJ/mol of atoms. Its density of states at the Fermi level is 0.0 states/eV per cell.

The space group is Cmc2_1 (No. 36) and the conventional cell measures 4.7266, 11.2923 and 7.5362 Å, with angles of 90.00, 90.00 and 90.00 degrees. The asymmetric unit holds Ba at (0.0000, 0.1138, 0.0000), Br at (0.0000, 0.1919, 0.5582) and Br at (0.0000, 0.4842, 0.7729).